Here is a relaxed structure of NaSc2PaS6 from Alexandria via LeMat-Bulk. Energies are from PBE.

Lattice parameters (Å, degrees): 6.7140 6.7133 7.1386 61.95 61.96 60.00
With the nearest neighbours (Å) after each atom.
Fractional positions:
1 Na 0.8012 0.8011 0.5965  6 S 2.80-3.01
2 Sc 0.5164 0.5163 0.4511  6 S 2.57-2.65
3 Sc 0.0073 0.0074 0.9779  6 S 2.56-2.63
4 Pa 0.3205 0.3205 0.0384  6 S 2.64-2.66
5 S 0.6136 0.2427 0.2383  2 Sc 2.57-2.63, 1 Pa 2.66
6 S 0.2427 0.9054 0.2383  2 Sc 2.57-2.63, 1 Pa 2.66
7 S 0.9055 0.6136 0.2384  2 Sc 2.57-2.63, 1 Pa 2.66
8 S 0.3650 0.7357 0.7454  2 Sc 2.56-2.65, 1 Pa 2.64, 1 Na 2.80
9 S 0.7356 0.1537 0.7455  2 Sc 2.56-2.65, 1 Pa 2.64, 1 Na 2.80
10 S 0.1539 0.3651 0.7454  2 Sc 2.56-2.65, 1 Pa 2.64, 1 Na 2.80

Properties
- calculated density (g/cm³) = 3.81
- symmetry = R3
- Fermi-level density of states (states/eV/atom) = 0.0000
- formation energy (no corrections) (meV per atom) = -1664.0